Entry 1:
{"formula": "Pm7Si3", "functional": "PBE", "state": "optimized geometry", "e_tot_ev_per_atom": -5.419, "rho_g_cm3": 6.40, "dos_ef_per_ev_atom": 1.011, "raw_formation_energy_ev_per_fu": -4.66, "lattice_angstrom": [[-5.389, 3.168, -0.233], [-3.934, -7.148, -6.227], [-0.994, -0.945, 10.172]], "species": ["Pm", "Pm", "Pm", "Pm", "Pm", "Pm", "Pm", "Pm", "Pm", "Pm", "Pm", "Pm", "Pm", "Pm", "Si", "Si", "Si", "Si", "Si", "Si"], "frac_coords": [[0.910, 0.877, 0.753], [0.657, 0.933, 0.466], [0.657, 0.534, 0.466], [0.910, 0.247, 0.123], [0.410, 0.123, 0.877], [0.410, 0.753, 0.877], [0.910, 0.877, 0.123], [0.157, 0.466, 0.534], [0.410, 0.123, 0.247], [0.114, 0.667, 0.333], [0.157, 0.466, 0.933], [0.614, 0.333, 0.667], [0.157, 0.067, 0.534], [0.657, 0.534, 0.067], [0.865, 0.191, 0.381], [0.865, 0.619, 0.809], [0.365, 0.809, 0.619], [0.865, 0.191, 0.809], [0.365, 0.381, 0.191], [0.365, 0.809, 0.191]]}


Entry 2:
{"formula": "Tm6Te3PtS2", "functional": "PBE", "state": "optimized geometry", "e_tot_ev_per_atom": -5.694, "rho_g_cm3": 9.07, "dos_ef_per_ev_atom": 0.319, "raw_formation_energy_ev_per_fu": -17.78, "lattice_angstrom": [[7.118, -0.003, -0.003], [-3.560, 6.164, -0.003], [-1.190, -2.060, 6.911]], "species": ["Pt", "S", "S", "Tm", "Tm", "Tm", "Tm", "Tm", "Tm", "Te", "Te", "Te"], "frac_coords": [[0.000, 0.000, 0.000], [0.666, 0.334, 0.000], [0.334, 0.666, 0.000], [0.931, 0.606, 0.789], [0.069, 0.394, 0.211], [0.606, 0.931, 0.789], [0.394, 0.069, 0.211], [0.254, 0.254, 0.786], [0.746, 0.746, 0.214], [0.500, 0.500, 0.500], [0.828, 0.172, 0.500], [0.172, 0.828, 0.500]]}


Entry 3:
{"formula": "CaZnSe2", "functional": "PBE", "state": "optimized geometry", "e_tot_ev_per_atom": -3.720, "rho_g_cm3": 4.79, "dos_ef_per_ev_atom": 0.000, "raw_formation_energy_ev_per_fu": -4.64, "lattice_angstrom": [[-3.096, 0.318, 2.538], [-2.146, -3.259, 0.953], [2.266, -2.133, 6.172]], "species": ["Se", "Se", "Zn", "Ca"], "frac_coords": [[0.492, 0.492, 0.528], [0.008, 0.008, 0.972], [0.750, 0.750, 0.750], [0.250, 0.250, 0.250]]}